Computed, not measured: Nd9Pb3C2 after structural relaxation at the PBE level of DFT.

For the total energy, the calculation gives -5.5577 eV/atom. The formation energy is -0.38 eV/atom.

a = 7.2196 Å, b = 7.2196 Å, c = 8.8525 Å
α = 90.00°, β = 90.00°, γ = 120.00°
With the nearest neighbours (Å) after each atom.
Atoms (fractional coordinates):
Pb  0.0000  0.0000  0.0000  12 Nd 3.61
Nd  0.3392  0.1696  0.3304  1 C 2.46
Nd  0.8304  0.1696  0.3304  1 C 2.46
C  0.6667  0.3333  0.1754  6 Nd 2.46-2.60
Nd  0.1696  0.3392  0.6696  1 C 2.46
Nd  0.6608  0.8304  0.6696  1 C 2.46
Nd  0.1696  0.8304  0.6696  1 C 2.46
Pb  0.6667  0.3333  0.6679  12 Nd 3.60-3.62
Nd  0.5000  0.5000  0.0000  2 C 2.60
Pb  0.3333  0.6667  0.3321  12 Nd 3.60-3.62
Nd  0.8304  0.6608  0.3304  1 C 2.46
C  0.3333  0.6667  0.8246  6 Nd 2.46-2.60
Nd  0.0000  0.5000  0.0000  2 C 2.60
Nd  0.5000  0.0000  0.0000  2 C 2.60


Computed, not measured: K3Tl5Hg2 after structural relaxation at the PBE level of DFT.

The relative energy among the computed polymorphs comes out at 0 kJ/mol of formula units. For the total energy, the calculation gives -1.6794 eV/atom. The formation energy is -0.11 eV/atom.

a = 7.3462 Å, b = 10.6750 Å, c = 10.6750 Å
α = 82.00°, β = 69.87°, γ = 69.87°
With the nearest neighbours (Å) after each atom.
Atoms (fractional coordinates):
K  0.6198  0.6088  0.1516  1 Hg 3.58, 3 Tl 3.85-3.90
Hg  0.6427  0.0080  0.7065  3 Tl 2.99-3.17
K  0.7500  0.0000  0.0000  4 Hg 3.47, 2 Tl 3.53, 2 K 3.67
K  0.3802  0.3912  0.8484  1 Hg 3.58, 3 Tl 3.85-3.90
Tl  0.5036  0.2464  0.2464  2 Tl 3.16, 2 Hg 3.17, 1 K 3.53
Tl  0.7500  0.5000  0.5000  6 Tl 3.26-3.64
K  0.8802  0.8484  0.3912  1 Hg 3.58, 3 Tl 3.85-3.90
Tl  0.3668  0.7690  0.4974  1 Hg 2.99, 4 Tl 3.16-3.26
Tl  0.4964  0.7536  0.7536  2 Tl 3.16, 2 Hg 3.17, 1 K 3.53
K  0.1198  0.1516  0.6088  1 Hg 3.58, 3 Tl 3.85-3.90
Tl  0.1332  0.5026  0.2310  1 Hg 2.99, 4 Tl 3.16-3.26
Tl  0.8668  0.4974  0.7690  1 Hg 2.99, 4 Tl 3.16-3.26
K  0.2500  0.0000  0.0000  4 Hg 3.47, 2 Tl 3.53, 2 K 3.67
Hg  0.8573  0.2935  0.9920  3 Tl 2.99-3.17
Tl  0.2500  0.5000  0.5000  6 Tl 3.26-3.64
Tl  0.0036  0.2464  0.2464  2 Tl 3.16, 2 Hg 3.17, 1 K 3.53
Tl  0.9964  0.7536  0.7536  2 Tl 3.16, 2 Hg 3.17, 1 K 3.53
Tl  0.6332  0.2310  0.5026  1 Hg 2.99, 4 Tl 3.16-3.26
Hg  0.3573  0.9920  0.2935  3 Tl 2.99-3.17
Hg  0.1427  0.7065  0.0080  3 Tl 2.99-3.17


Computed, not measured: Sc2NbGeAs after structural relaxation at the PBE level of DFT.

For the total energy, the calculation gives -5.7433 eV/atom. The formation energy is 0.66 eV/atom.

a = 4.9640 Å, b = 4.8562 Å, c = 4.9640 Å
α = 90.00°, β = 90.00°, γ = 90.00°
With the nearest neighbours (Å) after each atom.
Atoms (fractional coordinates):
Nb  0.5000  0.5000  0.5000  8 Sc 3.47, 4 As 3.51
Ge  0.0000  0.0000  0.0000  2 As 2.43, 4 Sc 2.48
Sc  0.5000  0.0000  0.0000  2 Ge 2.48
As  0.0000  0.5000  0.0000  2 Ge 2.43
Sc  0.0000  0.0000  0.5000  2 Ge 2.48


Computed, not measured: Tb6Dy2Er3Tm after structural relaxation at the PBE level of DFT.

For the total energy, the calculation gives -4.5783 eV/atom. The formation energy is 0.02 eV/atom.

a = 6.1135 Å, b = 6.1135 Å, c = 11.6842 Å
α = 94.98°, β = 94.98°, γ = 119.95°
With the nearest neighbours (Å) after each atom.
Atoms (fractional coordinates):
Tb  0.4168  0.0838  0.2504  3 Er 3.52, 6 Tb 3.53, 2 Dy 3.53, 1 Tm 3.53
Tb  0.9162  0.5832  0.7496  3 Er 3.52, 6 Tb 3.53, 2 Dy 3.53, 1 Tm 3.53
Er  0.8334  0.1666  0.5000  6 Tb 3.52, 6 Er 3.53
Tb  0.2492  0.2492  0.7494  3 Er 3.52, 1 Tm 3.53, 6 Tb 3.53, 2 Dy 3.53
Tb  0.5832  0.9162  0.7496  3 Er 3.52, 6 Tb 3.53, 2 Dy 3.53, 1 Tm 3.53
Dy  0.3334  0.6666  0.0000  6 Tb 3.53, 3 Dy 3.53, 3 Tm 3.53
Tb  0.7508  0.7508  0.2506  3 Er 3.52, 1 Tm 3.53, 6 Tb 3.53, 2 Dy 3.53
Er  0.1666  0.8334  0.5000  6 Tb 3.52, 6 Er 3.53
Dy  0.6666  0.3334  0.0000  6 Tb 3.53, 3 Dy 3.53, 3 Tm 3.53
Tm  0.0000  0.0000  0.0000  6 Tb 3.53, 6 Dy 3.53
Er  0.5000  0.5000  0.5000  6 Tb 3.52, 6 Er 3.53
Tb  0.0838  0.4168  0.2504  3 Er 3.52, 6 Tb 3.53, 2 Dy 3.53, 1 Tm 3.53


Computed, not measured: PbBrCl3 after structural relaxation at the PBE level of DFT.

The relative energy among the computed polymorphs comes out at 124 kJ/mol of formula units. For the total energy, the calculation gives -2.5139 eV/atom. For the energy relative to the elements, uncorrected, the calculation gives -330 meV/atom.

a = 5.4705 Å, b = 5.4705 Å, c = 5.4705 Å
α = 90.00°, β = 90.00°, γ = 90.00°
With the nearest neighbours (Å) after each atom.
Atoms (fractional coordinates):
Cl  0.0000  0.5000  0.0000  2 Pb 2.74
Cl  0.0000  0.0000  0.5000  2 Pb 2.74
Pb  0.0000  0.0000  0.0000  6 Cl 2.74
Cl  0.5000  0.0000  0.0000  2 Pb 2.74
Br  0.5000  0.5000  0.5000  12 Cl 3.87


Computed, not measured: AlTl2Pb after structural relaxation at the PBE level of DFT.

The relative energy among the computed polymorphs comes out at 18 kJ/mol of formula units. For the total energy, the calculation gives -2.8748 eV/atom. The formation energy is 0.17 eV/atom.

a = 5.1933 Å, b = 3.4643 Å, c = 6.5531 Å
α = 74.25°, β = 90.00°, γ = 90.00°
With the nearest neighbours (Å) after each atom.
Atoms (fractional coordinates):
Tl  0.0000  0.9299  0.9851  2 Al 3.17-3.54, 2 Tl 3.46, 4 Pb 3.47
Pb  0.5000  0.5514  0.7446  2 Al 3.06, 3 Tl 3.36-3.42
Al  0.0000  0.7155  0.4875  2 Pb 3.06, 5 Tl 3.17-3.41
Tl  0.5000  0.3032  0.2827  4 Al 3.35-3.41, 3 Pb 3.36-3.42, 6 Tl 3.46-3.69


Computed, not measured: Cs2LiYCr after structural relaxation at the PBE level of DFT.

For the total energy, the calculation gives -2.8173 eV/atom. The formation energy is 1.12 eV/atom.

a = 6.7961 Å, b = 5.3318 Å, c = 6.7961 Å
α = 90.00°, β = 90.00°, γ = 90.00°
With the nearest neighbours (Å) after each atom.
Atoms (fractional coordinates):
Cr  0.0000  0.5000  0.0000  2 Li 2.67
Cs  0.0000  0.0000  0.5000  2 Li 3.40
Li  0.0000  0.0000  0.0000  2 Cr 2.67
Y  0.5000  0.5000  0.5000  8 Cs 4.32, 4 Cr 4.81
Cs  0.5000  0.0000  0.0000  2 Li 3.40


Computed, not measured: K2BeBr after structural relaxation at the PBE level of DFT.

The relative energy among the computed polymorphs comes out at 139 kJ/mol of formula units. For the total energy, the calculation gives -1.7400 eV/atom. For the energy relative to the elements, uncorrected, the calculation gives 159 meV/atom.

a = 5.8233 Å, b = 5.8233 Å, c = 5.8233 Å
α = 60.00°, β = 60.00°, γ = 60.00°
With the nearest neighbours (Å) after each atom.
Atoms (fractional coordinates):
K  0.0000  0.0000  0.0000  4 K 3.57, 4 Br 3.57
Br  0.7500  0.7500  0.7500  4 K 3.57, 4 Be 3.57
K  0.2500  0.2500  0.2500  4 K 3.57, 4 Be 3.57
Be  0.5000  0.5000  0.5000  4 Br 3.57, 4 K 3.57


Magnetization list, top to bottom, in μB per atom: 0.00 0.00 0.00 0.00 0.26 0.00 1.09 0.00